{
  "formula": "In2GaN",
  "functional": "GGA-PBE",
  "state": "relaxed",
  "total_magnetization_mub_per_fu": 0.1,
  "energy_ev_per_atom": -3.280,
  "sg": "Fm-3m (225)",
  "raw_formation_energy_ev_per_atom": 0.93,
  "lattice": [[0.0000, 3.3767, 3.3767], [3.3767, 0.0000, 3.3767], [3.3767, 3.3767, 0.0000]],
  "species": ["In", "In", "Ga", "N"],
  "fractional_positions": [[0.2500, 0.2500, 0.2500], [0.7500, 0.7500, 0.7500], [0.0000, 0.0000, 0.0000], [0.5000, 0.5000, 0.5000]]
}